a) Ac6InGa2: relaxed, GGA-PBE.

Output
Its crystal system is orthorhombic. As for the space-group type: Immm, No. 71.

a b c (Å): 9.555 9.555 9.555
angles (deg): 105.65 110.73 112.10
Positions (direct):
Ac1 0.195 0.756 0.951
Ac2 0.697 0.024 0.327
Ac3 0.544 0.722 0.822
Ac4 0.303 0.976 0.673
Ac5 0.805 0.244 0.049
Ac6 0.805 0.756 0.561
Ac7 0.195 0.244 0.439
Ac8 0.100 0.278 0.822
Ac9 0.303 0.631 0.327
Ac10 0.697 0.369 0.673
Ac11 0.456 0.278 0.178
Ac12 0.900 0.722 0.178
Ga1 0.500 0.385 0.885
Ga2 0.344 0.000 0.344
Ga3 0.500 0.615 0.115
Ga4 0.656 0.000 0.656
In1 0.000 0.000 0.000
In2 0.000 0.500 0.500

=====

b) Ac6InGa2: relaxed, GGA-PBE.

Output
Its crystal system is monoclinic. As for the space-group type: P2_1/c, No. 14.

a b c (Å): 7.176 9.057 10.483
angles (deg): 90.00 83.85 90.00
Positions (direct):
Ac1 0.650 0.155 0.941
Ac2 0.838 0.942 0.223
Ac3 0.886 0.697 0.927
Ac4 0.114 0.303 0.073
Ac5 0.162 0.058 0.777
Ac6 0.614 0.197 0.573
Ac7 0.386 0.803 0.427
Ac8 0.350 0.845 0.059
Ac9 0.662 0.442 0.277
Ac10 0.850 0.655 0.559
Ac11 0.150 0.345 0.441
Ac12 0.338 0.558 0.723
Ga1 0.928 0.379 0.760
Ga2 0.428 0.121 0.260
Ga3 0.572 0.879 0.740
Ga4 0.072 0.621 0.240
In1 0.000 0.000 0.500
In2 0.500 0.500 0.000

=====

a) ends up most stable, edging out the next structure by 0.127 eV/atom.

=====

a) AcIn2Ga: relaxed, GGA-PBE.

Output
Its crystal system is orthorhombic. As for the space-group type: Cmcm, No. 63.

a b c (Å): 4.742 9.943 9.716
angles (deg): 90.00 90.00 103.80
Positions (direct):
In1 0.314 0.627 0.102
In2 0.915 0.830 0.250
In3 0.686 0.373 0.602
In4 0.085 0.170 0.750
In5 0.064 0.128 0.250
In6 0.936 0.872 0.750
In7 0.314 0.627 0.398
In8 0.686 0.373 0.898
Ac1 0.500 0.000 0.000
Ac2 0.299 0.598 0.750
Ac3 0.701 0.402 0.250
Ac4 0.500 0.000 0.500
Ga1 0.147 0.294 0.479
Ga2 0.147 0.294 0.021
Ga3 0.853 0.706 0.521
Ga4 0.853 0.706 0.979

=====

b) AcIn2Ga: relaxed, GGA-PBE.

Output
Its crystal system is orthorhombic. As for the space-group type: Cmcm, No. 63.

a b c (Å): 4.808 4.684 10.153
angles (deg): 103.34 90.00 90.00
Positions (direct):
Ga1 0.250 0.670 0.341
Ga2 0.750 0.330 0.659
Ac1 0.250 0.895 0.791
Ac2 0.750 0.105 0.209
In1 0.250 0.251 0.501
In2 0.250 0.536 0.072
In3 0.750 0.464 0.928
In4 0.750 0.749 0.499

=====

b) ends up most stable, edging out the next structure by 0.021 eV/atom.

=====

a) AcIn2Ga: relaxed, GGA-PBE.

Output
Its crystal system is tetragonal. As for the space-group type: P4/mmm, No. 123.

a b c (Å): 3.890 3.890 7.432
angles (deg): 90.00 90.00 90.00
Positions (direct):
Ga1 0.500 0.500 0.000
In1 0.000 0.000 0.800
In2 0.000 0.000 0.200
Ac1 0.500 0.500 0.500

=====

b) AcIn2Ga: relaxed, GGA-PBE.

Output
Its crystal system is tetragonal. As for the space-group type: P4/mmm, No. 123.

a b c (Å): 4.993 4.743 4.743
angles (deg): 90.00 90.00 90.00
Positions (direct):
In1 0.000 0.000 0.500
In2 0.000 0.500 0.000
Ga1 0.500 0.000 0.000
Ac1 0.500 0.500 0.500

=====

b) ends up most stable, edging out the next structure by 0.128 eV/atom.

=====

a) Ac4InGa: relaxed, GGA-PBE.

Output
Its crystal system is monoclinic. As for the space-group type: P2_1/m, No. 11.

a b c (Å): 6.657 7.440 9.891
angles (deg): 90.00 111.58 90.00
Positions (direct):
Ac1 0.033 0.506 0.759
Ac2 0.592 0.250 0.434
Ac3 0.421 0.750 0.139
Ac4 0.579 0.250 0.861
Ac5 0.033 0.994 0.759
Ac6 0.408 0.750 0.566
Ac7 0.967 0.494 0.241
Ac8 0.967 0.006 0.241
In1 0.280 0.250 0.078
In2 0.720 0.750 0.922
Ga1 0.824 0.750 0.460
Ga2 0.176 0.250 0.540

=====

b) Ac4InGa: relaxed, GGA-PBE.

Output
Its crystal system is tetragonal. As for the space-group type: P4/mmm, No. 123.

a b c (Å): 5.519 5.520 7.875
angles (deg): 89.97 89.98 90.00
Positions (direct):
Ac1 0.501 0.997 0.262
Ac2 0.001 0.497 0.734
Ac3 0.501 0.998 0.734
Ac4 0.001 0.497 0.262
In1 0.501 0.497 0.998
Ga1 0.001 0.997 0.498

=====

a) ends up most stable, edging out the next structure by 0.097 eV/atom.